# DyScPd4 | Alexandria | PBE-GGA | relaxed
# - energy above the most stable polymorph in this dataset (eV/atom) = 0.173
data_DyScPd4
_chemical_formula_sum 'Dy1 Sc1 Pd4'
_cell_length_a 3.952
_cell_length_b 3.952
_cell_length_c 7.950
_cell_angle_alpha 90.00
_cell_angle_beta 90.00
_cell_angle_gamma 90.00
_space_group_name_H-M_alt 'P 4/m m m'
_space_group_IT_number 123
_space_group_name_Hall '-P 4 2'
loop_
_atom_site_label
_atom_site_fract_x
_atom_site_fract_y
_atom_site_fract_z
Dy1 0.000 0.000 0.000
Sc1 0.500 0.500 0.500
Pd1 0.000 0.500 0.264



# DySc2Pd | Alexandria | PBE-GGA | relaxed
# - energy above the most stable polymorph in this dataset (eV/atom) = 0.051
data_DySc2Pd
_chemical_formula_sum 'Dy1 Sc2 Pd1'
_cell_length_a 3.392
_cell_length_b 3.392
_cell_length_c 7.991
_cell_angle_alpha 90.00
_cell_angle_beta 90.00
_cell_angle_gamma 90.00
_space_group_name_H-M_alt 'P 4/m m m'
_space_group_IT_number 123
_space_group_name_Hall '-P 4 2'
loop_
_atom_site_label
_atom_site_fract_x
_atom_site_fract_y
_atom_site_fract_z
Dy1 0.000 0.000 0.000
Sc1 0.500 0.500 0.302
Pd1 0.000 0.000 0.500



# Dy4ScPd5 | Alexandria | PBE-GGA | relaxed
# - calculated total energy (eV per atom) = -5.95
data_Dy4ScPd5
_chemical_formula_sum 'Dy4 Sc1 Pd5'
_cell_length_a 3.428
_cell_length_b 3.428
_cell_length_c 17.741
_cell_angle_alpha 90.00
_cell_angle_beta 90.00
_cell_angle_gamma 90.00
_space_group_name_H-M_alt 'P 4/m m m'
_space_group_IT_number 123
_space_group_name_Hall '-P 4 2'
loop_
_atom_site_label
_atom_site_fract_x
_atom_site_fract_y
_atom_site_fract_z
Dy1 0.000 0.000 0.102
Dy2 0.000 0.000 0.307
Sc1 0.000 0.000 0.500
Pd1 0.500 0.500 0.000
Pd2 0.500 0.500 0.204
Pd3 0.500 0.500 0.411